Computed, not measured: a geometry-optimized TaWIO2 structure at the GGA+U level of DFT.

```
TaWIO2
1.0
3.9414 0.0000 0.0000
0.0000 3.9414 0.0000
0.0000 0.0000 8.2185
I O W Ta
1 2 1 1
Cartesian
0.0000 0.0000 4.1093
0.0000 1.9707 0.0000
1.9707 0.0000 0.0000
0.0000 0.0000 0.0000
1.9707 1.9707 4.1093
```

* DOS at the Fermi energy: 0.7393 states/eV per atom
* DFT total energy: -6.09 eV/atom
* magnetic moment: 5.3 Bohr magnetons per cell